Compound: ZrCoCl2
Source: the Alexandria database
Functional: GGA-PBE
Structure: relaxed

```
ZrCoCl2
1.0
0.000 3.148 3.148
3.148 0.000 3.148
3.148 3.148 0.000
Zr Co Cl
1 1 2
Direct
0.000 0.000 0.000
0.500 0.500 0.500
0.250 0.250 0.250
0.750 0.750 0.750
```

Calculated values
E_tot in eV per cell: -19.4
E above lowest polymorph in meV per atom: 744.6
Fermi-level density of states in states/eV/f.u.: 6.026


Compound: ZrCoCl2
Source: the Alexandria database
Functional: GGA-PBE
Structure: relaxed

```
ZrCoCl2
1.0
-2.089 2.089 3.843
2.089 -2.089 3.843
2.089 2.089 -3.843
Zr Co Cl
1 1 2
Direct
0.000 0.000 0.000
0.500 0.500 0.000
0.250 0.750 0.500
0.750 0.250 0.500
```

Calculated values
E_tot in eV per cell: -19.6
E above lowest polymorph in meV per atom: 697.1
Fermi-level density of states in states/eV/f.u.: 6.289


Compound: ZrCo2Cl
Source: the Alexandria database
Functional: GGA-PBE
Structure: relaxed

```
ZrCo2Cl
1.0
3.246 -1.873 0.000
3.246 1.873 0.000
-0.043 0.000 6.611
Zr Co Cl
1 2 1
Direct
0.000 0.000 0.000
0.332 0.332 0.764
0.665 0.665 0.748
0.668 0.668 0.266
```

Calculated values
E_tot in eV per cell: -25.4
E above lowest polymorph in meV per atom: 0.0
Fermi-level density of states in states/eV/f.u.: 1.924


Compound: ZrCo2Cl
Source: the Alexandria database
Functional: GGA-PBE
Structure: relaxed

```
ZrCo2Cl
1.0
0.000 3.104 3.104
3.104 0.000 3.104
3.104 3.104 0.000
Zr Co Cl
1 2 1
Direct
0.000 0.000 0.000
0.250 0.250 0.250
0.750 0.750 0.750
0.500 0.500 0.500
```

Calculated values
E_tot in eV per cell: -22.6
E above lowest polymorph in meV per atom: 706.5
Fermi-level density of states in states/eV/f.u.: 4.344


Compound: ZrCoCl
Source: the Alexandria database
Functional: GGA-PBE
Structure: relaxed

```
ZrCoCl
1.0
3.317 0.000 0.000
0.000 4.198 0.000
1.609 1.630 8.999
Zr Co Cl
2 2 2
Direct
0.068 0.309 0.359
0.932 0.691 0.641
0.458 0.202 0.586
0.542 0.798 0.414
0.341 0.324 0.828
0.659 0.676 0.172
```

Calculated values
E_tot in eV per cell: -39.7
Fermi-level density of states in states/eV/f.u.: 1.628


Compound: ZrCo2Cl
Source: the Alexandria database
Functional: GGA-PBE
Structure: relaxed

```
ZrCo2Cl
1.0
3.144 0.000 0.000
0.000 1.578 7.166
0.000 -1.578 7.166
Zr Co Cl
1 2 1
Direct
0.000 0.000 0.000
0.000 0.175 0.175
0.500 0.620 0.620
0.500 0.382 0.382
```

Calculated values
E_tot in eV per cell: -25.3
E above lowest polymorph in meV per atom: 36.4
Fermi-level density of states in states/eV/f.u.: 3.525


Compound: ZrCoCl2
Source: the Alexandria database
Functional: GGA-PBE
Structure: relaxed

```
ZrCoCl2
1.0
4.193 0.000 0.000
0.000 4.193 0.000
0.000 0.000 3.656
Zr Co Cl
1 1 2
Direct
0.000 0.000 0.000
0.500 0.500 0.000
0.000 0.500 0.500
0.500 0.000 0.500
```

Calculated values
E_tot in eV per cell: -19.6
E above lowest polymorph in meV per atom: 709.5
Fermi-level density of states in states/eV/f.u.: 2.596


Compound: ZrCoCl2
Source: the Alexandria database
Functional: GGA-PBE
Structure: relaxed

```
ZrCoCl2
1.0
-1.638 2.089 7.268
1.638 -2.089 7.268
1.638 2.089 -7.268
Zr Co Cl
1 1 2
Direct
0.000 0.000 0.000
0.500 0.500 0.000
0.140 0.640 0.500
0.860 0.360 0.500
```

Calculated values
E_tot in eV per cell: -21.6
E above lowest polymorph in meV per atom: 196.6
Fermi-level density of states in states/eV/f.u.: 4.526


Compound: ZrCoCl2
Source: the Alexandria database
Functional: GGA-PBE
Structure: relaxed

```
ZrCoCl2
1.0
3.129 0.000 0.000
0.000 4.175 0.000
0.000 0.000 5.348
Zr Co Cl
1 1 2
Direct
0.000 0.000 0.000
0.500 0.000 0.500
0.000 0.500 0.500
0.500 0.500 0.000
```

Calculated values
E_tot in eV per cell: -19.9
E above lowest polymorph in meV per atom: 623.1
Fermi-level density of states in states/eV/f.u.: 4.189


Compound: ZrCo2Cl
Source: the Alexandria database
Functional: GGA-PBE
Structure: relaxed

```
ZrCo2Cl
1.0
-1.472 2.176 4.509
1.472 -2.176 4.509
1.472 2.176 -4.509
Zr Co Cl
1 2 1
Direct
0.000 0.000 0.000
0.267 0.767 0.500
0.733 0.233 0.500
0.500 0.500 0.000
```

Calculated values
E_tot in eV per cell: -24.2
E above lowest polymorph in meV per atom: 299.8
Fermi-level density of states in states/eV/f.u.: 4.813


Compound: Zr2CoCl
Source: the Alexandria database
Functional: GGA-PBE
Structure: relaxed

```
Zr2CoCl
1.0
-1.894 2.626 3.620
1.894 -2.626 3.620
1.894 2.626 -3.620
Zr Co Cl
2 1 1
Direct
0.243 0.243 0.000
0.757 0.757 0.000
0.000 0.500 0.500
0.500 0.000 0.500
```

Calculated values
E_tot in eV per cell: -26.8
E above lowest polymorph in meV per atom: 398.9
Fermi-level density of states in states/eV/f.u.: 2.547


Compound: Zr2CoCl
Source: the Alexandria database
Functional: GGA-PBE
Structure: relaxed

```
Zr2CoCl
1.0
-2.841 2.841 5.896
2.841 -2.841 5.896
2.841 2.841 -5.896
Zr Co Cl
4 2 2
Direct
0.090 0.625 0.965
0.375 0.340 0.465
0.660 0.125 0.035
0.875 0.910 0.535
0.000 0.000 0.000
0.750 0.250 0.500
0.250 0.750 0.500
0.500 0.500 0.000
```

Calculated values
E_tot in eV per cell: -51.9
E above lowest polymorph in meV per atom: 603.1
Fermi-level density of states in states/eV/f.u.: 4.784